Compound: TcPt2Rh
Source: Alexandria
Functional: PBE
Structure: relaxed

Cell: 4.814 4.810 3.881 Å, 66.27 66.17 47.57°
Positions (direct):
Tc  0.000  0.000  0.000
Pt  0.250  0.250  0.250
Pt  0.500  0.500  0.500
Rh  0.750  0.750  0.750

The total magnetization is 0.000 μB per atom. The value obtained for the energy above the most stable polymorph in this dataset is 45.6 meV per atom. For the total energy, the calculation gives -7.573 eV/atom. As for the energy relative to the elements: -123 meV/atom.

***

Compound: TcPt8Rh5
Source: Alexandria
Functional: PBE
Structure: relaxed

Cell: 6.636 6.636 6.636 Å, 108.89 108.89 110.63°
Positions (direct):
Tc  0.000  0.000  0.000
Pt  0.018  0.415  0.275
Pt  0.058  0.128  0.700
Pt  0.140  0.743  0.725
Pt  0.257  0.982  0.397
Pt  0.429  0.358  0.300
Pt  0.585  0.860  0.603
Pt  0.642  0.942  0.070
Pt  0.872  0.571  0.930
Rh  0.303  0.600  0.083
Rh  0.400  0.483  0.703
Rh  0.517  0.220  0.917
Rh  0.750  0.250  0.500
Rh  0.780  0.697  0.297

The total magnetization is 0.000 μB per atom. For the total energy, the calculation gives -6.605 eV/atom. As for the energy relative to the elements: 213 meV/atom.

***

Compound: Tc2PtRh
Source: Alexandria
Functional: PBE
Structure: relaxed

Cell: 3.335 3.335 5.436 Å, 90.00 90.00 90.00°
Positions (direct):
Tc  0.000  0.000  0.231
Tc  0.000  0.000  0.769
Pt  0.500  0.500  0.500
Rh  0.500  0.500  0.000

The total magnetization is 0.148 μB per atom. The value obtained for the energy above the most stable polymorph in this dataset is 376.2 meV per atom. For the total energy, the calculation gives -8.322 eV/atom. As for the energy relative to the elements: 209 meV/atom.

***

Compound: TcPtRh
Source: Alexandria
Functional: PBE
Structure: relaxed

Cell: 4.927 2.707 6.825 Å, 90.00 90.12 90.00°
Positions (direct):
Tc  0.000  0.000  0.000
Tc  0.500  0.123  0.000
Pt  0.251  0.061  0.349
Pt  0.749  0.061  0.651
Rh  0.249  0.561  0.703
Rh  0.751  0.561  0.297

The total magnetization is 0.000 μB per atom. The value obtained for the energy above the most stable polymorph in this dataset is 230.6 meV per atom. For the total energy, the calculation gives -7.863 eV/atom. As for the energy relative to the elements: 56 meV/atom.

***

Compound: TcPt3Rh
Source: Alexandria
Functional: PBE
Structure: relaxed

Cell: 4.728 4.728 4.728 Å, 90.00 90.00 90.00°
Positions (direct):
Tc  0.000  0.000  0.000
Pt  0.000  0.000  0.500
Pt  0.000  0.500  0.000
Pt  0.500  0.000  0.000
Rh  0.500  0.500  0.500

The total magnetization is 0.000 μB per atom. The value obtained for the energy above the most stable polymorph in this dataset is 1620.6 meV per atom. For the total energy, the calculation gives -5.682 eV/atom. As for the energy relative to the elements: 1486 meV/atom.

***

Compound: Tc2Pt2Rh7
Source: Alexandria
Functional: PBE
Structure: relaxed

Cell: 5.058 5.058 6.622 Å, 97.66 97.66 94.43°
Positions (direct):
Tc  0.182  0.818  0.000
Tc  0.818  0.182  0.000
Pt  0.100  0.100  0.347
Pt  0.900  0.900  0.653
Rh  0.042  0.424  0.704
Rh  0.345  0.345  0.083
Rh  0.424  0.042  0.704
Rh  0.500  0.500  0.500
Rh  0.576  0.958  0.296
Rh  0.655  0.655  0.917
Rh  0.958  0.576  0.296

The total magnetization is 0.000 μB per atom. The value obtained for the energy above the most stable polymorph in this dataset is 0.0 meV per atom. For the total energy, the calculation gives -7.554 eV/atom. As for the energy relative to the elements: 107 meV/atom.

***

Question: What is the formula in the third record?
Answer: Tc2PtRh

***

Question: Which formula does entry 6 have?
Answer: Tc2Pt2Rh7

***

Question: Which of these has the lowest energy relative to the elements?
Answer: TcPt2Rh